Record 1
Density functional theory data (PBE) for Tm2B5 after structural relaxation.

Structure (POSCAR):
```
Tm2B5
1.0
-1.620 3.333 3.771
1.620 -3.333 3.771
1.620 3.333 -3.771
B Tm
5 2
Direct
0.000 0.000 0.000 B
0.637 0.500 0.137 B
0.237 0.000 0.237 B
0.763 0.000 0.763 B
0.363 0.500 0.863 B
0.754 0.254 0.500 Tm
0.246 0.746 0.500 Tm
```

Record 2
Density functional theory data (PBE) for TmUB after structural relaxation.

Computed properties:
Energy relative to the lowest polymorph listed for this composition = 0.0 kJ/mol of formula units

Structure (POSCAR):
```
TmUB
1.0
0.000 3.088 3.088
3.088 0.000 3.088
3.088 3.088 0.000
B Tm U
1 1 1
Direct
0.000 0.000 0.000 B
0.250 0.250 0.250 Tm
0.750 0.750 0.750 U
```

no.,final energy (eV per atom)
1,-6.495
2,-7.025